First-principles (PBE-GGA) data for crystalline PdCN at its relaxed geometry, as listed in Alexandria. Values from VASP.

Cell and atoms, written as Quantum ESPRESSO input:
```
&SYSTEM
  ibrav = 0, nat = 3, ntyp = 3
/
ATOMIC_SPECIES
Pd 106.42 Pd.upf
C 12.01 C.upf
N 14.01 N.upf
CELL_PARAMETERS angstrom
1.200 -4.810 0.000
1.200 4.810 0.000
-1.070 0.000 2.842
ATOMIC_POSITIONS crystal
Pd 0.000 0.000 0.000
C 0.205 0.795 0.000
N 0.778 0.222 0.000
```

V (Å³/atom): 10.94
Fermi-level density of states (states/eV per atom): 0.09
Magnetization (μB/atom): 0.00
Energy above the lowest structure with this stoichiometry (eV/atom): 0.000
Formation energy from raw total energies (eV per atom): 0.4292